No. 1
Crystalline MoAsW2 at its relaxed geometry. Source: the Alexandria database, functional PBE.

Values from the calculation:
D(E_F): 0.57 states/eV per atom
formation enthalpy at 0 K: 0.198 eV per atom

Cell lengths 3.191, 4.292, 9.138 Å; angles 90.00, 90.00, 90.00 degrees
Positions (direct):
Mo  0.000  0.000  0.000
Mo  0.500  0.500  0.500
As  0.000  0.000  0.500
As  0.500  0.500  0.000
W  0.000  0.500  0.246
W  0.000  0.500  0.754
W  0.500  0.000  0.254
W  0.500  0.000  0.746

No. 2
Crystalline MoAsW2 at its relaxed geometry. Source: the Alexandria database, functional PBE.

Values from the calculation:
D(E_F): 0.66 states/eV per atom
formation enthalpy at 0 K: 0.377 eV per atom

Cell lengths 6.321, 6.321, 6.321 Å; angles 90.00, 90.00, 90.00 degrees
Positions (direct):
Mo  0.000  0.000  0.000
Mo  0.000  0.500  0.500
Mo  0.500  0.000  0.500
Mo  0.500  0.500  0.000
As  0.250  0.250  0.250
As  0.250  0.750  0.750
As  0.750  0.250  0.750
As  0.750  0.750  0.250
W  0.000  0.000  0.500
W  0.000  0.500  0.000
W  0.250  0.250  0.750
W  0.250  0.750  0.250
W  0.500  0.000  0.000
W  0.500  0.500  0.500
W  0.750  0.250  0.250
W  0.750  0.750  0.750